No. 1
An optimized crystal structure of CdTe2Br. Source: Alexandria via LeMat-Bulk, functional PBE.

Results
Uncorrected formation energy: 0.00 eV per atom
Spin magnetization: 0.00 μB/cell
Calculated volume: 117.9 Å³ per cell
Space-group type: No. 99

abc: 3.6132 3.6132 9.0291
angles: 90.00 90.00 90.00
Sites, in units of the cell vectors:
Te1 0.0000 0.0000 0.9857
Te2 0.5000 0.5000 0.1980
Br1 0.0000 0.0000 0.5710
Cd1 0.5000 0.5000 0.7453

=====

No. 2
An optimized crystal structure of CdTeBr. Source: Alexandria via LeMat-Bulk, functional PBE.

Results
Uncorrected formation energy: -0.55 eV per atom
Spin magnetization: 0.00 μB/cell
Calculated volume: 221.1 Å³ per cell
Space-group type: No. 2

abc: 4.5641 6.6933 7.8427
angles: 82.14 90.24 68.91
Sites, in units of the cell vectors:
Te1 0.6090 0.7907 0.5969
Te2 0.3910 0.2092 0.4031
Br1 0.1497 0.7105 0.1323
Br2 0.8503 0.2895 0.8677
Cd1 0.0665 0.8741 0.7937
Cd2 0.9335 0.1259 0.2063

=====

No. 3
An optimized crystal structure of CdTe2Br. Source: Alexandria via LeMat-Bulk, functional PBE.

Results
Uncorrected formation energy: -0.09 eV per atom
Spin magnetization: 0.00 μB/cell
Calculated volume: 139.3 Å³ per cell
Space-group type: No. 44

abc: 6.3398 6.3398 6.3398
angles: 144.24 105.24 85.74
Sites, in units of the cell vectors:
Te1 0.0115 0.0115 0.0000
Te2 0.7813 0.2813 0.5000
Br1 0.4543 0.4543 0.0000
Cd1 0.2529 0.7529 0.5000

=====

No. 4
An optimized crystal structure of CdTe2Br. Source: Alexandria via LeMat-Bulk, functional PBE.

Results
Uncorrected formation energy: 0.23 eV per atom
Spin magnetization: 0.00 μB/cell
Calculated volume: 109.7 Å³ per cell
Space-group type: No. 123

abc: 5.7422 5.7422 3.3255
angles: 90.00 90.00 90.00
Sites, in units of the cell vectors:
Te1 0.0000 0.0000 0.0000
Te2 0.5000 0.5000 0.0000
Br1 0.5000 0.0000 0.5000
Cd1 0.0000 0.5000 0.5000

=====

No. 5
An optimized crystal structure of CdTeBr2. Source: Alexandria via LeMat-Bulk, functional PBE.

Results
Uncorrected formation energy: -0.10 eV per atom
Spin magnetization: 0.00 μB/cell
Calculated volume: 114.7 Å³ per cell
Space-group type: No. 47

abc: 3.7886 6.5744 4.6062
angles: 90.00 90.00 90.00
Sites, in units of the cell vectors:
Te1 0.0000 0.5000 0.5000
Br1 0.0000 0.0000 0.0000
Br2 0.5000 0.5000 0.0000
Cd1 0.5000 0.0000 0.5000

=====

No. 6
An optimized crystal structure of CdTe2Br. Source: Alexandria via LeMat-Bulk, functional PBE.

Results
Uncorrected formation energy: 0.21 eV per atom
Spin magnetization: 0.00 μB/cell
Calculated volume: 107.0 Å³ per cell
Space-group type: No. 225

abc: 5.3292 5.3292 5.3292
angles: 60.00 60.00 60.00
Sites, in units of the cell vectors:
Te1 0.2500 0.2500 0.2500
Te2 0.7500 0.7500 0.7500
Br1 0.0000 0.0000 0.0000
Cd1 0.5000 0.5000 0.5000

=====

Repeat the sixth record exactly.
An optimized crystal structure of CdTe2Br. Source: Alexandria via LeMat-Bulk, functional PBE.

Results
Uncorrected formation energy: 0.21 eV per atom
Spin magnetization: 0.00 μB/cell
Calculated volume: 107.0 Å³ per cell
Space-group type: No. 225

abc: 5.3292 5.3292 5.3292
angles: 60.00 60.00 60.00
Sites, in units of the cell vectors:
Te1 0.2500 0.2500 0.2500
Te2 0.7500 0.7500 0.7500
Br1 0.0000 0.0000 0.0000
Cd1 0.5000 0.5000 0.5000

=====

- Which of these has the lowest calculated volume?
  number 6